Compound: KH3O3
Source: Alexandria via LeMat-Bulk
Functional: PBE
Structure: optimized geometry

## Properties
* V: 171 Å³ per cell
* DFT total energy: -4.448 eV/atom
* space-group type: R-3 (148)
* Fermi-level density of states: 9.52 states/eV/cell

Cell and atoms, written as CIF:
```
data_KH3O3
_cell_length_a 5.933
_cell_length_b 5.933
_cell_length_c 5.933
_cell_angle_alpha 67.44
_cell_angle_beta 67.44
_cell_angle_gamma 67.44
_symmetry_space_group_name_H-M 'P 1'
_symmetry_Int_Tables_number 1
loop_
_symmetry_equiv_pos_as_xyz
'x,y,z'
loop_
_atom_site_label
_atom_site_type_symbol
_atom_site_fract_x
_atom_site_fract_y
_atom_site_fract_z
_atom_site_occupancy
K1 K 0.156 0.156 0.156 1
K2 K 0.844 0.844 0.844 1
H1 H 0.148 0.248 0.604 1
H2 H 0.248 0.604 0.148 1
H3 H 0.396 0.852 0.752 1
H4 H 0.604 0.148 0.248 1
H5 H 0.752 0.396 0.852 1
H6 H 0.852 0.752 0.396 1
O1 O 0.028 0.669 0.419 1
O2 O 0.331 0.581 0.972 1
O3 O 0.419 0.028 0.669 1
O4 O 0.581 0.972 0.331 1
O5 O 0.669 0.419 0.028 1
O6 O 0.972 0.331 0.581 1
```